Below is a relaxed structure of Tb5TeRh2, with properties calculated at the PBE level.

Structure (POSCAR):
```
Tb5TeRh2
1.0
-3.892 3.892 6.767
3.892 -3.892 6.767
3.892 3.892 -6.767
Tb Te Rh
10 2 4
Direct
0.000 0.000 0.000 Tb
0.019 0.519 0.810 Tb
0.209 0.019 0.500 Tb
0.291 0.791 0.810 Tb
0.481 0.291 0.500 Tb
0.500 0.500 0.000 Tb
0.519 0.709 0.500 Tb
0.709 0.209 0.190 Tb
0.791 0.981 0.500 Tb
0.981 0.481 0.190 Tb
0.250 0.250 0.000 Te
0.750 0.750 0.000 Te
0.142 0.358 0.500 Rh
0.358 0.858 0.216 Rh
0.642 0.142 0.784 Rh
0.858 0.642 0.500 Rh
```

Output
Its formation energy (no corrections) is -6.48 eV per formula unit. As for the symmetry: No. 140. The size of the total moment is 0.00 Bohr magnetons per cell.